Tb3DyTm2Se6: optimized geometry, PBE.

Geometry as POSCAR:
```
Tb3DyTm2Se6
1.0
-6.663 1.756 1.405
3.816 -3.534 4.733
3.031 6.367 0.576
Dy Tm Se Tb
1 2 6 3
direct
0.000 0.000 0.000
0.334 0.666 0.000
0.666 0.334 0.000
0.581 0.919 0.755
0.919 0.581 0.755
0.256 0.256 0.757
0.081 0.419 0.245
0.419 0.081 0.245
0.744 0.744 0.243
0.836 0.164 0.500
0.164 0.836 0.500
0.500 0.500 0.500
```

Calculated values
ΔE_f (raw) (eV/atom): -1.734

***

Tb2DyTmSe5: optimized geometry, PBE.

Geometry as POSCAR:
```
Tb2DyTmSe5
1.0
-4.434 -0.682 2.400
-1.148 -3.787 -3.197
4.652 -6.989 6.609
Dy Tb Se Tm
1 2 5 1
direct
0.000 0.000 0.000
0.500 0.500 0.664
0.500 0.500 0.336
0.000 0.500 0.500
0.000 0.000 0.248
0.000 0.000 0.752
0.500 0.000 0.500
0.500 0.500 0.000
0.000 0.000 0.500
```

Calculated values
ΔE_f (raw) (eV/atom): -1.160

***

TbDyTm2Se6: optimized geometry, PBE.

Geometry as POSCAR:
```
TbDyTm2Se6
1.0
-2.121 -6.378 2.476
-0.607 -5.559 -4.477
5.234 -5.575 0.483
Se Dy Tm Tb
6 1 2 1
direct
0.409 0.727 0.749
0.617 0.226 0.250
0.226 0.908 0.249
0.115 0.409 0.749
0.908 0.617 0.250
0.727 0.115 0.749
0.817 0.817 0.548
0.513 0.513 0.462
0.013 0.013 0.961
0.317 0.317 0.049
```

Calculated values
ΔE_f (raw) (eV/atom): -1.846

***

- What is the ΔE_f (raw) in the second record?
  -1.160 eV/atom

***

- The lowest ΔE_f (raw) belongs to which entry?
  TbDyTm2Se6

***

Repeat the third record exactly.
TbDyTm2Se6: optimized geometry, PBE.

Geometry as POSCAR:
```
TbDyTm2Se6
1.0
-2.121 -6.378 2.476
-0.607 -5.559 -4.477
5.234 -5.575 0.483
Se Dy Tm Tb
6 1 2 1
direct
0.409 0.727 0.749
0.617 0.226 0.250
0.226 0.908 0.249
0.115 0.409 0.749
0.908 0.617 0.250
0.727 0.115 0.749
0.817 0.817 0.548
0.513 0.513 0.462
0.013 0.013 0.961
0.317 0.317 0.049
```

Calculated values
ΔE_f (raw) (eV/atom): -1.846